{"formula": "Er2CoCu", "functional": "PBE-GGA", "state": "relaxed", "sg": "R-3m, No. 166", "formation_enthalpy_0k_mev_per_atom": 333, "dos_ef_per_ev_cell": 4.82, "lattice_angstrom": [[3.6821, 0.0000, 0.0000], [-1.8410, 3.1888, 0.0000], [0.0000, 0.0000, 25.7860]], "species": ["Er", "Er", "Er", "Er", "Er", "Er", "Co", "Co", "Co", "Cu", "Cu", "Cu"], "frac_coords": [[0.0000, 0.0000, 0.1084], [0.0000, 0.0000, 0.8916], [0.3333, 0.6667, 0.5583], [0.3333, 0.6667, 0.7750], [0.6667, 0.3333, 0.2250], [0.6667, 0.3333, 0.4417], [0.0000, 0.0000, 0.5000], [0.3333, 0.6667, 0.1667], [0.6667, 0.3333, 0.8333], [0.0000, 0.0000, 0.0000], [0.3333, 0.6667, 0.6667], [0.6667, 0.3333, 0.3333]]}